# 1
This record from Alexandria describes a relaxed Nd2HoAg6 crystal. The functional is PBE.

Computed properties:
Space group   P6/mmm
Energy relative to the elements   -0.25 eV per atom
VASP energy   -3.72 eV per atom
ρ   8.7 Mg/m³

abc: 8.3115 8.3115 3.5108
angles: 90.00 90.00 120.00
Atoms (fractional coordinates):
Nd 0.3333 0.6667 0.0000
Nd 0.6667 0.3333 0.0000
Ho 0.0000 0.0000 0.0000
Ag 0.0000 0.3309 0.5000
Ag 0.0000 0.6691 0.5000
Ag 0.3309 0.0000 0.5000
Ag 0.3309 0.3309 0.5000
Ag 0.6691 0.0000 0.5000
Ag 0.6691 0.6691 0.5000



# 2
This record from Alexandria describes a relaxed Tm3ThRu2 crystal. The functional is PBE.

Computed properties:
Space group   C2/m
Energy relative to the elements   -0.35 eV per atom
VASP energy   -6.91 eV per atom
ρ   10.2 Mg/m³

abc: 8.2440 8.2440 8.3396
angles: 100.15 100.15 33.52
Atoms (fractional coordinates):
Tm 0.0671 0.0671 0.1815
Tm 0.1889 0.1889 0.5544
Tm 0.3083 0.3083 0.9274
Tm 0.6917 0.6917 0.0726
Tm 0.8111 0.8111 0.4456
Tm 0.9329 0.9329 0.8185
Th 0.4367 0.4367 0.3031
Th 0.5633 0.5633 0.6969
Ru 0.1234 0.1234 0.8668
Ru 0.3805 0.3805 0.6207
Ru 0.6195 0.6195 0.3793
Ru 0.8766 0.8766 0.1332



# 3
This record from Alexandria describes a relaxed ErZnPd2 crystal. The functional is PBE.

Computed properties:
Space group   P4/mmm
Energy relative to the elements   -0.72 eV per atom
VASP energy   -4.77 eV per atom
ρ   10.5 Mg/m³

abc: 3.3327 3.3327 6.3713
angles: 90.00 90.00 90.00
Atoms (fractional coordinates):
Er 0.0000 0.0000 0.0000
Zn 0.0000 0.0000 0.5000
Pd 0.5000 0.5000 0.2779
Pd 0.5000 0.5000 0.7221



# 4
This record from Alexandria describes a relaxed K2CaCd2Te4 crystal. The functional is PBE.

Computed properties:
Space group   C2/m
E_form (uncorrected)   -948 meV/atom
VASP energy   -3.01 eV per atom
ρ   4.4 Mg/m³

abc: 8.9372 8.9372 8.6153
angles: 108.84 108.84 29.76
Atoms (fractional coordinates):
K 0.1216 0.1216 0.0569
K 0.8784 0.8784 0.9431
Ca 0.0000 0.0000 0.5000
Cd 0.3296 0.3296 0.5198
Cd 0.6704 0.6704 0.4802
Te 0.2075 0.2075 0.6993
Te 0.4883 0.4883 0.7481
Te 0.5117 0.5117 0.2519
Te 0.7925 0.7925 0.3007



# 5
This record from Alexandria describes a relaxed LaYW2 crystal. The functional is PBE.

Computed properties:
Space group   Cmm2
Energy relative to the elements   0.52 eV per atom
Energy above the most stable polymorph in this dataset   0.227 eV per atom
VASP energy   -8.81 eV per atom
ρ   10.9 Mg/m³

abc: 3.0587 3.0587 10.5951
angles: 90.00 90.00 113.28
Atoms (fractional coordinates):
La 0.0000 0.0000 0.0000
Y 0.5000 0.5000 0.6651
W 0.0000 0.0000 0.4299
W 0.5000 0.5000 0.2465



# 6
This record from Alexandria describes a relaxed ScV3In crystal. The functional is PBE.

Computed properties:
Space group   Pm-3m
Energy relative to the elements   1.43 eV per atom
Energy above the most stable polymorph in this dataset   0.000 eV per atom
VASP energy   -5.86 eV per atom
ρ   5.6 Mg/m³

abc: 4.5265 4.5265 4.5265
angles: 90.00 90.00 90.00
Atoms (fractional coordinates):
Sc 0.0000 0.0000 0.0000
V 0.0000 0.0000 0.5000
V 0.0000 0.5000 0.0000
V 0.5000 0.0000 0.0000
In 0.5000 0.5000 0.5000



# 7
This record from Alexandria describes a relaxed Tm2BeSi3Ni4 crystal. The functional is PBE.

Computed properties:
Space group   P-4m2
E_form (uncorrected)   -753 meV/atom
VASP energy   -5.96 eV per atom
ρ   7.7 Mg/m³

abc: 3.8953 3.8953 9.4156
angles: 90.00 90.00 90.00
Atoms (fractional coordinates):
Tm 0.0000 0.5000 0.2438
Tm 0.5000 0.0000 0.7562
Be 0.5000 0.5000 0.0000
Si 0.0000 0.0000 0.0000
Si 0.0000 0.5000 0.6344
Si 0.5000 0.0000 0.3656
Ni 0.0000 0.0000 0.5000
Ni 0.0000 0.5000 0.8755
Ni 0.5000 0.0000 0.1245
Ni 0.5000 0.5000 0.5000



# 8
This record from Alexandria describes a relaxed FeMo2Br crystal. The functional is PBE.

Computed properties:
Space group   F-43m
E_form (uncorrected)   1007 meV/atom
Energy above the most stable polymorph in this dataset   0.564 eV per atom
VASP energy   -6.94 eV per atom
ρ   8.6 Mg/m³

abc: 4.4777 4.4777 4.4777
angles: 60.00 60.00 60.00
Atoms (fractional coordinates):
Fe 0.0000 0.0000 0.0000
Mo 0.5000 0.5000 0.5000
Mo 0.7500 0.7500 0.7500
Br 0.2500 0.2500 0.2500



# 9
This record from Alexandria describes a relaxed La8Tb3Pr2 crystal. The functional is PBE.

Computed properties:
Space group   P2/m
Energy relative to the elements   0.17 eV per atom
Energy above the most stable polymorph in this dataset   0.033 eV per atom
VASP energy   -4.66 eV per atom
ρ   6.5 Mg/m³

abc: 7.7559 5.8606 11.1612
angles: 90.00 110.27 90.00
Atoms (fractional coordinates):
La 0.0975 0.0000 0.2946
La 0.1717 0.5000 0.8450
La 0.3042 0.0000 0.7059
La 0.3693 0.5000 0.2378
La 0.6307 0.5000 0.7622
La 0.6958 0.0000 0.2941
La 0.8283 0.5000 0.1550
La 0.9025 0.0000 0.7054
Tb 0.2191 0.5000 0.5002
Tb 0.5000 0.0000 0.5000
Tb 0.7809 0.5000 0.4998
Pr 0.2578 0.0000 0.0180
Pr 0.7422 0.0000 0.9820



# 10
This record from Alexandria describes a relaxed PaCuRu2 crystal. The functional is PBE.

Computed properties:
Space group   P4/mmm
Energy relative to the elements   -0.37 eV per atom
Energy above the most stable polymorph in this dataset   0.000 eV per atom
VASP energy   -8.41 eV per atom
ρ   12.7 Mg/m³

abc: 4.1473 4.1473 3.7738
angles: 90.00 90.00 90.00
Atoms (fractional coordinates):
Pa 0.0000 0.0000 0.0000
Cu 0.5000 0.5000 0.0000
Ru 0.0000 0.5000 0.5000
Ru 0.5000 0.0000 0.5000



# 11
This record from Alexandria describes a relaxed BiPb5Au crystal. The functional is PBE.

Computed properties:
Space group   C2/c
Energy relative to the elements   0.03 eV per atom
Energy above the most stable polymorph in this dataset   0.000 eV per atom
VASP energy   -3.64 eV per atom
ρ   11.2 Mg/m³

abc: 6.0829 6.0829 12.1463
angles: 103.11 103.11 84.51
Atoms (fractional coordinates):
Bi 0.0949 0.9051 0.7500
Bi 0.9051 0.0949 0.2500
Pb 0.0235 0.7197 0.4411
Pb 0.0381 0.4485 0.8652
Pb 0.2803 0.9765 0.0589
Pb 0.4485 0.0381 0.3652
Pb 0.4967 0.5033 0.7500
Pb 0.5033 0.4967 0.2500
Pb 0.5515 0.9619 0.6348
Pb 0.7197 0.0235 0.9411
Pb 0.9619 0.5515 0.1348
Pb 0.9765 0.2803 0.5589
Au 0.5000 0.5000 0.0000
Au 0.5000 0.5000 0.5000